Entry 1:
A geometry-optimized TaPbSN2 structure. Source: the Alexandria database, functional GGA-PBE.

Geometry as POSCAR:
```
TaPbSN2
1.0
4.191 0.000 0.000
0.000 4.191 0.000
0.000 0.000 5.147
Ta Pb S N
1 1 1 2
direct
0.000 0.000 0.000 Ta
0.500 0.500 0.500 Pb
0.500 0.500 0.000 S
0.000 0.500 0.500 N
0.500 0.000 0.500 N
```

Values from the calculation:
The total moment is 0.9 Bohr magnetons per cell. As for the symmetry: P4/mmm. The value obtained for the density of states at the Fermi level is 3.6 states/eV/f.u. The raw total energy is -5.307 eV per atom. The excess energy over the best structure of this formula in the dataset is 2.100 eV/atom.

---

Entry 2:
A geometry-optimized TaPbSN2 structure. Source: the Alexandria database, functional GGA-PBE.

Geometry as POSCAR:
```
TaPbSN2
1.0
4.100 0.000 0.000
0.000 4.100 0.000
0.000 0.000 5.107
Ta Pb S N
1 1 1 2
direct
0.000 0.000 0.000 Ta
0.500 0.500 0.500 Pb
0.000 0.000 0.500 S
0.000 0.500 0.000 N
0.500 0.000 0.000 N
```

Values from the calculation:
The total moment is 0.4 Bohr magnetons per cell. As for the symmetry: P4/mmm. The value obtained for the density of states at the Fermi level is 1.7 states/eV/f.u. The raw total energy is -7.407 eV per atom. The excess energy over the best structure of this formula in the dataset is 0.000 eV/atom.

---

Entry 3:
A geometry-optimized Tb4PbS2N structure. Source: the Alexandria database, functional GGA-PBE.

Geometry as POSCAR:
```
Tb4PbS2N
1.0
7.128 0.000 0.000
0.000 7.128 0.000
0.000 0.000 7.985
Tb Pb S N
8 2 4 2
direct
0.183 0.183 0.165 Tb
0.183 0.817 0.835 Tb
0.317 0.317 0.665 Tb
0.317 0.683 0.335 Tb
0.683 0.317 0.335 Tb
0.683 0.683 0.665 Tb
0.817 0.183 0.835 Tb
0.817 0.817 0.165 Tb
0.000 0.000 0.500 Pb
0.500 0.500 0.000 Pb
0.000 0.500 0.250 S
0.000 0.500 0.750 S
0.500 0.000 0.250 S
0.500 0.000 0.750 S
0.000 0.000 0.000 N
0.500 0.500 0.500 N
```

Values from the calculation:
The total moment is 0.0 Bohr magnetons per cell. As for the symmetry: I-42m. The value obtained for the density of states at the Fermi level is 4.4 states/eV/f.u. The raw total energy is -6.187 eV per atom.

---

Entry 4:
A geometry-optimized Tb3PbSN structure. Source: the Alexandria database, functional GGA-PBE.

Geometry as POSCAR:
```
Tb3PbSN
1.0
8.782 0.000 0.000
0.000 3.979 0.000
-2.261 0.000 8.966
Tb Pb S N
6 2 2 2
direct
0.063 0.250 0.340 Tb
0.342 0.250 0.985 Tb
0.386 0.750 0.655 Tb
0.614 0.250 0.345 Tb
0.658 0.750 0.015 Tb
0.937 0.750 0.660 Tb
0.312 0.750 0.281 Pb
0.688 0.250 0.719 Pb
0.152 0.250 0.645 S
0.848 0.750 0.355 S
0.405 0.750 0.893 N
0.595 0.250 0.107 N
```

Values from the calculation:
The total moment is 0.0 Bohr magnetons per cell. As for the symmetry: P2_1/m. The value obtained for the density of states at the Fermi level is 1.6 states/eV/f.u. The raw total energy is -6.282 eV per atom.

---

Entry 5:
A geometry-optimized Tc2PbSN structure. Source: the Alexandria database, functional GGA-PBE.

Geometry as POSCAR:
```
Tc2PbSN
1.0
3.970 0.000 0.000
0.000 3.970 0.000
0.000 0.000 5.959
Tc Pb S N
2 1 1 1
direct
0.000 0.500 0.000 Tc
0.500 0.000 0.000 Tc
0.000 0.000 0.500 Pb
0.500 0.500 0.500 S
0.000 0.000 0.000 N
```

Values from the calculation:
The total moment is 1.0 Bohr magnetons per cell. As for the symmetry: P4/mmm. The value obtained for the density of states at the Fermi level is 5.1 states/eV/f.u. The raw total energy is -6.719 eV per atom.

---

Entry 6:
A geometry-optimized Te2PbSN structure. Source: the Alexandria database, functional GGA-PBE.

Geometry as POSCAR:
```
Te2PbSN
1.0
6.240 0.000 0.000
0.000 6.240 0.000
0.000 0.000 3.278
Te Pb S N
2 1 1 1
direct
0.000 0.500 0.000 Te
0.500 0.000 0.000 Te
0.000 0.000 0.500 Pb
0.500 0.500 0.000 S
0.500 0.500 0.500 N
```

Values from the calculation:
The total moment is 0.0 Bohr magnetons per cell. As for the symmetry: P4/mmm. The value obtained for the density of states at the Fermi level is 1.2 states/eV/f.u. The raw total energy is -3.919 eV per atom. The excess energy over the best structure of this formula in the dataset is 0.000 eV/atom.

---

Entry 7:
A geometry-optimized Te2PbSN structure. Source: the Alexandria database, functional GGA-PBE.

Geometry as POSCAR:
```
Te2PbSN
1.0
5.910 0.000 0.000
0.000 5.910 0.000
0.000 0.000 4.207
Te Pb S N
2 1 1 1
direct
0.000 0.500 0.000 Te
0.500 0.000 0.000 Te
0.000 0.000 0.000 Pb
0.500 0.500 0.500 S
0.000 0.000 0.500 N
```

Values from the calculation:
The total moment is 1.4 Bohr magnetons per cell. As for the symmetry: P4/mmm. The value obtained for the density of states at the Fermi level is 4.7 states/eV/f.u. The raw total energy is -3.076 eV per atom. The excess energy over the best structure of this formula in the dataset is 0.843 eV/atom.

---

Entry 8:
A geometry-optimized ThPbS2N structure. Source: the Alexandria database, functional GGA-PBE.

Geometry as POSCAR:
```
ThPbS2N
1.0
4.036 0.000 0.000
0.000 4.036 0.000
0.000 0.000 13.775
Th Pb S N
2 2 4 2
direct
0.250 0.250 0.090 Th
0.750 0.750 0.910 Th
0.250 0.250 0.617 Pb
0.750 0.750 0.383 Pb
0.250 0.250 0.389 S
0.250 0.250 0.813 S
0.750 0.750 0.187 S
0.750 0.750 0.611 S
0.250 0.750 0.000 N
0.750 0.250 0.000 N
```

Values from the calculation:
The total moment is 0.0 Bohr magnetons per cell. As for the symmetry: P4/nmm. The value obtained for the density of states at the Fermi level is 3.4 states/eV/f.u. The raw total energy is -6.641 eV per atom.

---

Entry 9:
A geometry-optimized TlPbSN2 structure. Source: the Alexandria database, functional GGA-PBE.

Geometry as POSCAR:
```
TlPbSN2
1.0
4.417 0.000 0.000
0.000 4.417 0.000
0.000 0.000 5.526
Tl Pb S N
1 1 1 2
direct
0.000 0.000 0.000 Tl
0.500 0.500 0.500 Pb
0.000 0.000 0.500 S
0.000 0.500 0.000 N
0.500 0.000 0.000 N
```

Values from the calculation:
The total moment is 2.8 Bohr magnetons per cell. As for the symmetry: P4/mmm. The value obtained for the density of states at the Fermi level is 2.0 states/eV/f.u. The raw total energy is -3.936 eV per atom. The excess energy over the best structure of this formula in the dataset is 0.070 eV/atom.

---

Entry 10:
A geometry-optimized TlPbSN2 structure. Source: the Alexandria database, functional GGA-PBE.

Geometry as POSCAR:
```
TlPbSN2
1.0
4.593 0.000 0.000
0.000 4.593 0.000
0.000 0.000 5.438
Tl Pb S N
1 1 1 2
direct
0.000 0.000 0.000 Tl
0.500 0.500 0.500 Pb
0.500 0.500 0.000 S
0.000 0.500 0.500 N
0.500 0.000 0.500 N
```

Values from the calculation:
The total moment is 3.2 Bohr magnetons per cell. As for the symmetry: P4/mmm. The value obtained for the density of states at the Fermi level is 2.0 states/eV/f.u. The raw total energy is -4.005 eV per atom. The excess energy over the best structure of this formula in the dataset is 0.000 eV/atom.

---

Entry 11:
A geometry-optimized Tm5Pb2SN structure. Source: the Alexandria database, functional GGA-PBE.

Geometry as POSCAR:
```
Tm5Pb2SN
1.0
2.027 -8.638 0.000
2.027 8.638 0.000
0.000 0.000 12.559
Tm Pb S N
10 4 2 2
direct
0.010 0.990 0.500 Tm
0.149 0.851 0.724 Tm
0.173 0.827 0.093 Tm
0.209 0.791 0.380 Tm
0.462 0.538 0.734 Tm
0.538 0.462 0.234 Tm
0.791 0.209 0.880 Tm
0.827 0.173 0.593 Tm
0.851 0.149 0.224 Tm
0.990 0.010 0.000 Tm
0.357 0.643 0.040 Pb
0.389 0.611 0.404 Pb
0.611 0.389 0.904 Pb
0.643 0.357 0.540 Pb
0.305 0.695 0.735 S
0.695 0.305 0.235 S
0.046 0.954 0.151 N
0.954 0.046 0.651 N
```

Values from the calculation:
The total moment is 0.0 Bohr magnetons per cell. As for the symmetry: Cmc2_1. The value obtained for the density of states at the Fermi level is 7.0 states/eV/f.u. The raw total energy is -5.687 eV per atom.

---

Entry 12:
A geometry-optimized PbWSN2 structure. Source: the Alexandria database, functional GGA-PBE.

Geometry as POSCAR:
```
PbWSN2
1.0
4.314 0.000 0.000
0.000 4.314 0.000
0.000 0.000 5.180
Pb W S N
1 1 1 2
direct
0.000 0.000 0.000 Pb
0.500 0.500 0.500 W
0.000 0.000 0.500 S
0.000 0.500 0.000 N
0.500 0.000 0.000 N
```

Values from the calculation:
The total moment is 1.8 Bohr magnetons per cell. As for the symmetry: P4/mmm. The value obtained for the density of states at the Fermi level is 1.9 states/eV/f.u. The raw total energy is -5.142 eV per atom.